[1]
A plane-wave DFT calculation with GGA-PBE was carried out for a geometry-optimized PaBi2Os structure.

Unit cell a=10.184 b=10.184 c=10.184 alpha=18.77 beta=18.77 gamma=18.77
Fractional coordinates of all 4 atoms:
1 Pa 0.000 0.000 0.000
2 Bi 0.237 0.237 0.237
3 Bi 0.763 0.763 0.763
4 Os 0.500 0.500 0.500

**ρ**: 14.6 g/cm3
**Space group**: No. 166
**E_form**: 0.60 eV per atom

=====

[2]
A plane-wave DFT calculation with GGA-PBE was carried out for a geometry-optimized Pa12Bi6Os structure.

Unit cell a=8.146 b=8.146 c=8.146 alpha=98.31 beta=98.31 gamma=98.31
Fractional coordinates of all 19 atoms:
1 Pa 0.040 0.113 0.349
2 Pa 0.113 0.349 0.040
3 Pa 0.192 0.421 0.503
4 Pa 0.349 0.040 0.113
5 Pa 0.421 0.503 0.192
6 Pa 0.497 0.808 0.579
7 Pa 0.503 0.192 0.421
8 Pa 0.579 0.497 0.808
9 Pa 0.651 0.960 0.887
10 Pa 0.808 0.579 0.497
11 Pa 0.887 0.651 0.960
12 Pa 0.960 0.887 0.651
13 Bi 0.146 0.735 0.316
14 Bi 0.265 0.684 0.854
15 Bi 0.316 0.146 0.735
16 Bi 0.684 0.854 0.265
17 Bi 0.735 0.316 0.146
18 Bi 0.854 0.265 0.684
19 Os 0.000 0.000 0.000

**ρ**: 13.4 g/cm3
**Space group**: No. 148
**E_form**: 0.08 eV per atom

=====

| no. | DOS(E_F) (states/eV/atom) |
| --- | --- |
| 1 | 1.37 |
| 2 | 2.27 |